A plane-wave DFT calculation with PBE was carried out for a relaxed In4CuIr crystal.

a b c (Å): 4.526 4.526 6.388
angles (deg): 90.00 90.00 90.00
Fractional coordinates of all 6 atoms:
In (0.000, 0.500, 0.250)
In (0.000, 0.500, 0.750)
In (0.500, 0.000, 0.250)
In (0.500, 0.000, 0.750)
Cu (0.000, 0.000, 0.000)
Ir (0.500, 0.500, 0.500)

Properties
Electronic total energy: -4.008 eV per atom
Mass density: 9072 kg/m³

=====

A plane-wave DFT calculation with PBE was carried out for a relaxed In2CuIr2 crystal.

a b c (Å): 6.446 6.446 6.446
angles (deg): 141.74 141.74 55.22
Fractional coordinates of all 5 atoms:
In (0.250, 0.750, 0.500)
In (0.750, 0.250, 0.500)
Cu (0.000, 0.000, 0.000)
Ir (0.393, 0.393, 0.000)
Ir (0.607, 0.607, 0.000)

Properties
Electronic total energy: -4.853 eV per atom
Mass density: 11035 kg/m³

=====

no.,total magnetization (μB per atom)
1,0.00
2,0.00